Record 1
Here is an optimized crystal structure of LiNiPCl2 from Alexandria. Energies are from PBE.

Structure (POSCAR):
```
LiNiPCl2
1.0
4.3074 0.0000 0.0000
0.0000 5.1302 0.0000
0.0000 0.0000 4.3074
Cl Li P Ni
2 1 1 1
Direct
0.0000 0.0000 0.5000
0.5000 0.0000 0.0000
0.0000 0.0000 0.0000
0.5000 0.5000 0.5000
0.0000 0.5000 0.0000
```

Calculated values
SG   No. 123
Theoretical density   2.9 Mg/m³
Formation energy from raw total energies   233 kJ/mol of formula units
Excess energy over the best structure of this formula in the dataset   0.7485 eV/atom

***

Record 2
Here is an optimized crystal structure of LiNiPCl2 from Alexandria. Energies are from PBE.

Structure (POSCAR):
```
LiNiPCl2
1.0
5.0232 0.0000 0.0000
0.0000 5.0232 0.0000
0.0000 0.0000 4.1937
Cl P Li Ni
2 1 1 1
Direct
0.0000 0.5000 0.0000
0.5000 0.0000 0.0000
0.0000 0.0000 0.5000
0.5000 0.5000 0.5000
0.0000 0.0000 0.0000
```

Calculated values
SG   No. 123
Theoretical density   2.6 Mg/m³
Formation energy from raw total energies   -128 kJ/mol of formula units
Excess energy over the best structure of this formula in the dataset   0.0000 eV/atom

***

Record 3
Here is an optimized crystal structure of LiNiPCl2 from Alexandria. Energies are from PBE.

Structure (POSCAR):
```
LiNiPCl2
1.0
4.3852 0.0000 0.0000
0.0000 4.3852 0.0000
0.0000 0.0000 4.9285
P Cl Li Ni
1 2 1 1
Direct
0.0000 0.0000 0.5000
0.5000 0.0000 0.0000
0.0000 0.5000 0.0000
0.0000 0.0000 0.0000
0.5000 0.5000 0.5000
```

Calculated values
SG   No. 123
Theoretical density   2.9 Mg/m³
Formation energy from raw total energies   219 kJ/mol of formula units
Excess energy over the best structure of this formula in the dataset   0.7192 eV/atom

***

Record 4
Here is an optimized crystal structure of Rb2LiNiCl6 from Alexandria. Energies are from PBE.

Structure (POSCAR):
```
Rb2LiNiCl6
1.0
7.0296 0.0000 0.0000
3.5148 6.0879 0.0000
3.5148 2.0293 11.7918
Cl Li Rb Ni
12 2 4 2
Direct
0.8045 0.8045 0.1158
0.6158 0.1537 0.6147
0.3842 0.8463 0.3853
0.1955 0.7248 0.8842
0.6158 0.6158 0.6147
0.1955 0.1955 0.8842
0.7248 0.1955 0.8842
0.3842 0.3842 0.3853
0.8463 0.3842 0.3853
0.8045 0.2752 0.1158
0.1537 0.6158 0.6147
0.2752 0.8045 0.1158
0.5856 0.5856 0.2433
0.4144 0.4144 0.7567
0.1234 0.1234 0.6298
0.7045 0.7045 0.8866
0.8766 0.8766 0.3702
0.2955 0.2955 0.1134
0.5000 0.5000 0.5000
0.0000 0.0000 0.0000
```

Calculated values
SG   No. 166
Theoretical density   3.0 Mg/m³
Formation energy from raw total energies   -1293 kJ/mol of formula units
Excess energy over the best structure of this formula in the dataset   0.0000 eV/atom

***

Record 5
Here is an optimized crystal structure of Rb2LiNiCl6 from Alexandria. Energies are from PBE.

Structure (POSCAR):
```
Rb2LiNiCl6
1.0
7.2757 0.0000 0.0000
0.0000 7.2757 0.0000
3.6378 3.6378 4.5469
Ni Rb Cl Li
1 2 6 1
Direct
0.0000 0.0000 0.0000
0.7500 0.2500 0.5000
0.2500 0.7500 0.5000
0.7512 0.7512 0.4977
0.2283 0.2283 0.0000
0.2488 0.2488 0.5023
0.2283 0.7717 0.0000
0.7717 0.2283 0.0000
0.7717 0.7717 0.0000
0.5000 0.5000 0.0000
```

Calculated values
SG   No. 139
Theoretical density   3.1 Mg/m³
Formation energy from raw total energies   -1253 kJ/mol of formula units
Excess energy over the best structure of this formula in the dataset   0.0411 eV/atom

***

Record 6
Here is an optimized crystal structure of RbLiNiCl6 from Alexandria. Energies are from PBE.

Structure (POSCAR):
```
RbLiNiCl6
1.0
-5.6275 0.3320 -2.8938
-0.4300 -1.0859 -6.2281
-1.0909 -7.0721 1.3090
Cl Rb Li Ni
6 1 1 1
Direct
0.6120 0.0348 0.3206
0.0349 0.3532 0.3206
0.6118 0.3533 0.6794
0.3533 0.6119 0.3206
0.0347 0.6120 0.6793
0.3532 0.0349 0.6794
0.0000 0.0000 0.0000
0.6666 0.6666 0.5000
0.3333 0.3333 0.5000
```

Calculated values
SG   No. 149
Theoretical density   2.4 Mg/m³
Formation energy from raw total energies   -893 kJ/mol of formula units

***

Record 7
Here is an optimized crystal structure of Rb3LiNi2Cl9 from Alexandria. Energies are from PBE.

Structure (POSCAR):
```
Rb3LiNi2Cl9
1.0
6.9528 0.0000 0.0000
-3.4764 6.0213 0.0000
0.0000 0.0000 8.5868
Ni Cl Rb Li
2 9 3 1
Direct
0.3333 0.6667 0.1687
0.6667 0.3333 0.8313
0.3484 0.1742 0.6805
0.0000 0.5000 0.0000
0.8258 0.1742 0.6805
0.8258 0.6516 0.6805
0.1742 0.8258 0.3195
0.1742 0.3484 0.3195
0.5000 0.5000 0.0000
0.6516 0.8258 0.3195
0.5000 0.0000 0.0000
0.0000 0.0000 0.0000
0.6667 0.3333 0.3356
0.3333 0.6667 0.6644
0.0000 0.0000 0.5000
```

Calculated values
SG   No. 164
Theoretical density   3.2 Mg/m³
Formation energy from raw total energies   -1792 kJ/mol of formula units

***

Record 8
Here is an optimized crystal structure of LiSiNi2Cl from Alexandria. Energies are from PBE.

Structure (POSCAR):
```
LiSiNi2Cl
1.0
-2.6410 3.1968 -1.0575
-2.9447 -2.7441 -0.9413
-1.4300 0.1520 4.0305
Ni Cl Si Li
2 1 1 1
Direct
0.5000 0.0000 0.0000
0.0000 0.0000 0.5000
0.0000 0.0000 0.0000
0.5000 0.5000 0.5000
0.0000 0.5000 0.0000
```

Calculated values
SG   No. 123
Theoretical density   4.1 Mg/m³
Formation energy from raw total energies   154 kJ/mol of formula units

***

Record 9
Here is an optimized crystal structure of SrLiNiCl2 from Alexandria. Energies are from PBE.

Structure (POSCAR):
```
SrLiNiCl2
1.0
-3.6482 2.3940 1.4132
-3.0130 -5.1180 0.8921
1.5599 -0.1671 4.3100
Sr Li Cl Ni
1 1 2 1
Direct
0.0000 0.5000 0.0000
0.0000 0.0000 0.0000
0.0000 0.0000 0.5000
0.5000 0.0000 0.0000
0.5000 0.5000 0.5000
```

Calculated values
SG   No. 123
Theoretical density   2.9 Mg/m³
Formation energy from raw total energies   -237 kJ/mol of formula units

***

Record 10
Here is an optimized crystal structure of Li3Tl3NiCl8 from Alexandria. Energies are from PBE.

Structure (POSCAR):
```
Li3Tl3NiCl8
1.0
7.6481 0.0000 0.0000
-3.8241 6.6281 -0.0204
0.0000 -4.3965 7.4112
Cl Li Tl Ni
8 3 3 1
Direct
0.7844 0.5688 0.3194
0.7842 0.0348 0.3193
0.2156 0.4312 0.6806
0.2708 0.5417 0.3128
0.7494 0.9652 0.6807
0.2506 0.0348 0.3193
0.7292 0.4583 0.6872
0.2158 0.9652 0.6807
0.5000 0.0000 0.5000
0.0000 0.5000 0.5000
0.5000 0.5000 0.5000
0.0000 0.0000 0.0000
0.5000 0.5000 0.0000
0.0000 0.5000 0.0000
0.0000 0.0000 0.5000
```

Calculated values
SG   No. 166
Theoretical density   4.3 Mg/m³
Formation energy from raw total energies   -1728 kJ/mol of formula units

***

Record 11
Here is an optimized crystal structure of LiTl2NiCl5 from Alexandria. Energies are from PBE.

Structure (POSCAR):
```
LiTl2NiCl5
1.0
-0.1862 0.6272 3.9032
-6.6935 -6.9631 -1.2069
9.2327 -9.2081 1.9201
Cl Tl Li Ni
10 4 2 2
Direct
0.2956 0.5913 0.6520
0.6600 0.3199 0.5027
0.6797 0.3594 0.8894
0.9511 0.9022 0.5163
0.4950 0.9900 0.2939
0.3203 0.6406 0.3894
0.0489 0.0978 0.0163
0.5050 0.0100 0.7939
0.3400 0.6801 0.0027
0.7044 0.4087 0.1520
0.1341 0.2683 0.6799
0.8659 0.7317 0.1799
0.8675 0.7351 0.8175
0.1325 0.2649 0.3175
0.2158 0.4316 0.0349
0.7842 0.5684 0.5349
0.5667 0.1334 0.9373
0.4333 0.8666 0.4373
```

Calculated values
SG   No. 36
Theoretical density   4.4 Mg/m³
Formation energy from raw total energies   -865 kJ/mol of formula units

***

Record 12
Here is an optimized crystal structure of Li4Np2Cl9 from Alexandria. Energies are from PBE.

Structure (POSCAR):
```
Li4Np2Cl9
1.0
-3.5086 5.6591 -0.6796
-4.8369 1.4866 4.3812
12.3306 8.9090 10.5844
Np Li Cl
4 8 18
Direct
0.0003 0.9998 0.6472
0.9998 0.0002 0.1472
0.9997 0.0002 0.3528
0.0002 0.9998 0.8528
0.3331 0.3335 0.1719
0.3333 0.3334 0.4893
0.6669 0.6665 0.8281
0.6666 0.6667 0.0109
0.3336 0.3331 0.6720
0.6664 0.6669 0.3280
0.6667 0.6666 0.5107
0.3334 0.3333 0.9891
0.3184 0.0002 0.2500
0.6816 0.9998 0.7500
0.0002 0.3185 0.7500
0.3773 0.6415 0.4188
0.3589 0.0186 0.5812
0.9815 0.6410 0.9187
0.6809 0.3189 0.2500
0.3587 0.6225 0.0813
0.6413 0.3775 0.9187
0.0190 0.6223 0.5813
0.9810 0.3777 0.4187
0.6411 0.9814 0.4188
0.3778 0.9812 0.9187
0.9998 0.6815 0.2500
0.3191 0.6811 0.7500
0.6222 0.0188 0.0813
0.0185 0.3590 0.0813
0.6227 0.3585 0.5812
```

Calculated values
SG   No. 165
Theoretical density   3.8 Mg/m³
Formation energy from raw total energies   -2401 kJ/mol of formula units

***

Values for VASP energy, eV per atom, ordered as above
-2.877; -3.625; -2.906; -3.411; -3.370; -3.222; -3.438; -3.829; -3.106; -3.421; -3.403; -5.002